Computed, not measured: a relaxed Ca2Zn4Pt3Au crystal at the GGA-PBE level of DFT.

Cell: 4.122 4.122 11.272 Å, 90.00 90.00 90.00°
Fractional positions:
Ca: 0.500 0.000 0.243
Ca: 0.000 0.500 0.757
Zn: 0.500 0.500 0.000
Zn: 0.000 0.000 0.000
Zn: 0.500 0.000 0.640
Zn: 0.000 0.500 0.360
Pt: 0.000 0.000 0.500
Pt: 0.500 0.000 0.861
Pt: 0.000 0.500 0.139
Au: 0.500 0.500 0.500

Values from the calculation:
DFT formation energy: -14.85 kcal/mol of atoms
calculated density: 9.74 g/cm3
magnetic moment: 0.00 μB per cell
N(E_F): 2.9 states/eV per cell
symmetry: No. 115